(1)
This record from OQMD via LeMat-Bulk describes crystalline Zr3As4Pd3 at its relaxed geometry. The functional is PBE.

As for the total energy: -269.910 eV per cell.

The structure belongs to space group I-43d (No. 220); the cell edges are 9.041, 9.041 and 9.041 Å and the angles 90.00°, 90.00° and 90.00°. The distinct sites, in fractional coordinates, are Zr at (0.000, 0.250, 0.875), As at (0.091, 0.409, 0.591) and Pd at (0.000, 0.250, 0.375).


(2)
This record from OQMD via LeMat-Bulk describes crystalline ZrAsPd2 at its relaxed geometry. The functional is PBE.

As for the total energy: -104.091 eV per cell.

The structure belongs to space group F-43m (No. 216); the cell edges are 6.471, 6.471 and 6.471 Å and the angles 90.00°, 90.00° and 90.00°. The distinct sites, in fractional coordinates, are Zr at (0.000, 0.000, 0.000), As at (0.250, 0.250, 0.750), Pd at (0.000, 0.000, 0.500) and Pd at (0.250, 0.250, 0.250).


(3)
This record from OQMD via LeMat-Bulk describes crystalline PmPr2As3 at its relaxed geometry. The functional is PBE.

As for the total energy: -37.309 eV per cell.

The structure belongs to space group P-3m1 (No. 164); the cell edges are 4.2803, 4.2803 and 10.4836 Å and the angles 90.00°, 90.00° and 120.00°. The distinct sites, in fractional coordinates, are Pm at (0.0000, 0.0000, 0.0000), Pr at (0.3333, 0.6667, 0.3313), As at (0.0000, 0.0000, 0.5000) and As at (0.3333, 0.6667, 0.8375).


(4)
This record from OQMD via LeMat-Bulk describes crystalline PmPrAs2 at its relaxed geometry. The functional is PBE.

As for the total energy: -24.872 eV per cell.

The structure belongs to space group P4/mmm (No. 123); the cell edges are 4.270, 4.270 and 6.038 Å and the angles 90.00°, 90.00° and 90.00°. The distinct sites, in fractional coordinates, are Pm at (0.000, 0.000, 0.000), Pr at (0.500, 0.500, 0.500), As at (0.000, 0.000, 0.500) and As at (0.500, 0.500, 0.000).


(5)
This record from OQMD via LeMat-Bulk describes crystalline PmAsPt at its relaxed geometry. The functional is PBE.

For the energy above the most stable polymorph in this dataset, the calculation gives 0 meV per atom.

The structure belongs to space group P3m1 (No. 156); the cell edges are 4.3162, 4.3162 and 4.0040 Å and the angles 90.00°, 90.00° and 120.00°. The distinct sites, in fractional coordinates, are Pm at (0.0000, 0.0000, 0.0000), As at (0.3333, 0.6667, 0.5162) and Pt at (0.6667, 0.3333, 0.4782).


(6)
This record from OQMD via LeMat-Bulk describes crystalline PmAsPt at its relaxed geometry. The functional is PBE.

For the energy above the most stable polymorph in this dataset, the calculation gives 151 meV per atom.

The structure belongs to space group F-43m (No. 216); the cell edges are 6.532, 6.532 and 6.532 Å and the angles 90.00°, 90.00° and 90.00°. The distinct sites, in fractional coordinates, are Pm at (0.000, 0.000, 0.000), As at (0.000, 0.000, 0.500) and Pt at (0.250, 0.250, 0.750).


(7)
This record from OQMD via LeMat-Bulk describes crystalline Pm3As2S at its relaxed geometry. The functional is PBE.

As for the total energy: -152.285 eV per cell.

The structure belongs to space group C2/c (No. 15); the cell edges are 7.228, 12.528 and 7.236 Å and the angles 90.00°, 109.52° and 90.00°. The distinct sites, in fractional coordinates, are Pm at (0.249, 0.083, 0.499), Pm at (0.250, 0.250, 0.000), As at (0.000, 0.251, 0.250), As at (0.000, 0.417, 0.750) and S at (0.000, 0.084, 0.750).


(8)
This record from OQMD via LeMat-Bulk describes crystalline Pm2AsS at its relaxed geometry. The functional is PBE.

As for the total energy: -25.507 eV per cell.

The structure belongs to space group P4/mmm (No. 123); the cell edges are 4.143, 4.143 and 5.852 Å and the angles 90.00°, 90.00° and 90.00°. The distinct sites, in fractional coordinates, are Pm at (0.000, 0.000, 0.000), Pm at (0.500, 0.500, 0.500), As at (0.000, 0.000, 0.500) and S at (0.500, 0.500, 0.000).